Record 1
Computed, not measured: a relaxed structure of LiBeSn at the PBE level of DFT.

Calculated values
M_tot: 0.00 μB per formula unit
relative energy among the computed polymorphs: 35 meV per atom
energy of formation from the pure elements: -6 meV per atom
DFT total energy: -9.7 eV per formula unit

Unit cell a=3.3971 b=4.3832 c=6.7595 alpha=90.00 beta=90.00 gamma=90.00
Space group Imm2 (No. 44)
Inequivalent atoms, fractional coordinates:
Li 0.0000 0.0000 0.0000
Be 0.0000 0.5000 0.2057
Sn 0.0000 0.0000 0.4127

***

Record 2
Computed, not measured: a relaxed structure of US2Cl at the PBE level of DFT.

Calculated values
M_tot: 1.00 μB per formula unit
relative energy among the computed polymorphs: 16 meV per atom
formation energy without anion corrections: -4.7 eV/f.u.
DFT total energy: -26.1 eV per formula unit

Unit cell a=10.0127 b=3.5951 c=7.5353 alpha=90.00 beta=92.30 gamma=90.00
Space group Cm (No. 8)
Inequivalent atoms, fractional coordinates:
U 0.0000 0.0000 0.0000
S 0.0744 0.5000 0.7814
S 0.3080 0.0000 0.0113
Cl 0.0869 0.5000 0.2527

***

Record 3
Computed, not measured: a relaxed structure of ZnCrNi5 at the PBE level of DFT.

Calculated values
M_tot: 0.00 μB per formula unit
relative energy among the computed polymorphs: 0 meV per atom
energy of formation from the pure elements: 50 meV per atom
DFT total energy: -39.5 eV per formula unit

Unit cell a=8.7668 b=8.7977 c=4.4749 alpha=90.00 beta=107.98 gamma=90.00
Space group C2/c (No. 15)
Inequivalent atoms, fractional coordinates:
Zn 0.0000 0.0668 0.2500
Cr 0.0000 0.5000 0.0000
Ni 0.0000 0.2410 0.7500
Ni 0.1473 0.3101 0.3248
Ni 0.2495 0.0877 0.0888

***

Record 4
Computed, not measured: a relaxed structure of TbTlCdHg at the PBE level of DFT.

Calculated values
M_tot: 0.00 μB per formula unit
relative energy among the computed polymorphs: 15 meV per atom
energy of formation from the pure elements: -278 meV per atom
DFT total energy: -9.3 eV per formula unit

Unit cell a=7.3499 b=7.3499 c=7.3499 alpha=90.00 beta=90.00 gamma=90.00
Space group F-43m (No. 216)
Inequivalent atoms, fractional coordinates:
Tb 0.0000 0.0000 0.0000
Tl 0.2500 0.2500 0.7500
Cd 0.0000 0.0000 0.5000
Hg 0.2500 0.2500 0.2500

***

Record 5
Computed, not measured: a relaxed structure of ZrVHg2Pt at the PBE level of DFT.

Calculated values
M_tot: 4.35 μB per formula unit
energy of formation from the pure elements: 705 meV per atom
DFT total energy: -20.8 eV per formula unit

Unit cell a=5.1722 b=5.1722 c=5.0161 alpha=90.00 beta=90.00 gamma=90.00
Space group P4/mmm (No. 123)
Inequivalent atoms, fractional coordinates:
Zr 0.0000 0.0000 0.0000
V 0.5000 0.5000 0.0000
Hg 0.0000 0.5000 0.5000
Pt 0.0000 0.0000 0.5000

***

Record 6
Computed, not measured: a relaxed structure of ZnCoIr3 at the PBE level of DFT.

Calculated values
M_tot: 4.10 μB per formula unit
relative energy among the computed polymorphs: 0 meV per atom
energy of formation from the pure elements: 1340 meV per atom
DFT total energy: -28.3 eV per formula unit

Unit cell a=4.4648 b=4.4648 c=4.4648 alpha=90.00 beta=90.00 gamma=90.00
Space group Pm-3m (No. 221)
Inequivalent atoms, fractional coordinates:
Zn 0.0000 0.0000 0.0000
Co 0.5000 0.5000 0.5000
Ir 0.0000 0.5000 0.5000

***

Record 7
Computed, not measured: a relaxed structure of Cs3RbHg2H8 at the PBE level of DFT.

Calculated values
M_tot: 0.00 μB per formula unit
DFT total energy: -32.5 eV per formula unit

Unit cell a=6.5782 b=6.5782 c=8.7439 alpha=90.00 beta=90.00 gamma=120.00
Space group P-3m1 (No. 164)
Inequivalent atoms, fractional coordinates:
Cs 0.0000 0.0000 0.0000
Cs 0.3333 0.6667 0.6905
Rb 0.0000 0.0000 0.5000
Hg 0.3333 0.6667 0.2251
H 0.1832 0.3664 0.3003
H 0.3333 0.6667 0.0224

***

Record 8
Computed, not measured: a relaxed structure of TlV2Re at the PBE level of DFT.

Calculated values
M_tot: 0.00 μB per formula unit
relative energy among the computed polymorphs: 361 meV per atom
energy of formation from the pure elements: 794 meV per atom
DFT total energy: -29.9 eV per formula unit

Unit cell a=7.2382 b=7.2382 c=5.4955 alpha=90.00 beta=90.00 gamma=90.00
Space group I-42d (No. 122)
Inequivalent atoms, fractional coordinates:
Tl 0.0000 0.0000 0.0000
V 0.1996 0.2500 0.6250
Re 0.0000 0.0000 0.5000

***

> What is the formula in the third record?

ZnCrNi5